[1]
Material: Zr3CdC
Method: DFT, PBE
State: relaxed

a = 8.0749 Å, b = 8.0749 Å, c = 8.0749 Å
α = 42.18°, β = 42.18°, γ = 42.18°
Sites, in units of the cell vectors:
Zr  0.0960  0.4490  0.7844
Zr  0.2156  0.9040  0.5510
Zr  0.4490  0.7844  0.0960
Zr  0.5510  0.2156  0.9040
Zr  0.7844  0.0960  0.4490
Zr  0.9040  0.5510  0.2156
Cd  0.3357  0.3357  0.3357
Cd  0.6643  0.6643  0.6643
C  0.1632  0.1632  0.1632
C  0.8368  0.8368  0.8368

- M_tot (μB per cell) = 0.00
- N(E_F) (states/eV/cell) = 8.68
- formation energy (meV/atom) = -217.1
- relative energy among the computed polymorphs (meV per atom) = 212

[2]
Material: BaYAl2
Method: DFT, PBE
State: relaxed

a = 4.6135 Å, b = 4.6135 Å, c = 20.7877 Å
α = 90.00°, β = 90.00°, γ = 120.00°
Sites, in units of the cell vectors:
Ba  0.0000  0.0000  0.0000
Ba  0.3333  0.6667  0.6667
Ba  0.6667  0.3333  0.3333
Y  0.0000  0.0000  0.8056
Y  0.3333  0.6667  0.4723
Y  0.6667  0.3333  0.1389
Al  0.0000  0.0000  0.2071
Al  0.0000  0.0000  0.5462
Al  0.3333  0.6667  0.2129
Al  0.3333  0.6667  0.8738
Al  0.6667  0.3333  0.5405
Al  0.6667  0.3333  0.8796

- M_tot (μB per cell) = 0.01
- N(E_F) (states/eV/cell) = 11.16
- formation energy (meV/atom) = -126.2
- relative energy among the computed polymorphs (meV per atom) = 104

[3]
Material: KCo2As
Method: DFT, PBE
State: relaxed

a = 4.4379 Å, b = 4.4379 Å, c = 3.2981 Å
α = 90.00°, β = 90.00°, γ = 90.00°
Sites, in units of the cell vectors:
K  0.0000  0.0000  0.0000
Co  0.0000  0.5000  0.5000
Co  0.5000  0.0000  0.5000
As  0.5000  0.5000  0.0000

- M_tot (μB per cell) = 2.63
- N(E_F) (states/eV/cell) = 7.87
- formation energy (meV/atom) = 944.4

[4]
Material: MnNi3Se
Method: DFT, PBE
State: relaxed

a = 4.3379 Å, b = 4.3379 Å, c = 4.3379 Å
α = 90.00°, β = 90.00°, γ = 90.00°
Sites, in units of the cell vectors:
Mn  0.0000  0.0000  0.0000
Ni  0.0000  0.0000  0.5000
Ni  0.0000  0.5000  0.0000
Ni  0.5000  0.0000  0.0000
Se  0.5000  0.5000  0.5000

- M_tot (μB per cell) = 4.55
- N(E_F) (states/eV/cell) = 7.30
- relative energy among the computed polymorphs (meV per atom) = 621
- formation energy without anion corrections (meV/atom) = 1052